# 1
Material: AcCd8Ag4
Method: DFT, PBE
State: relaxed

Results
* formation energy from the elements: -0.174 eV/atom
* space group: No. 139
* magnetic moment: 0.0 μB per cell

Lattice parameters (Å, degrees): 7.6552 7.6552 7.6552 97.88 97.88 136.53
Last column: nearest neighbours and their distance in Å.
Positions (direct):
1 Ac 0.0000 0.0000 0.0000  12 Cd 3.52-3.58, 8 Ag 3.83
2 Cd 0.0000 0.3501 0.3501  5 Cd 3.01-3.21, 4 Ag 3.06
3 Cd 0.0000 0.6499 0.6499  5 Cd 3.01-3.21, 4 Ag 3.06
4 Cd 0.2819 0.5000 0.7819  4 Ag 2.90, 6 Cd 3.10-3.21
5 Cd 0.3501 0.0000 0.3501  5 Cd 3.01-3.21, 4 Ag 3.06
6 Cd 0.5000 0.2819 0.7819  4 Ag 2.90, 6 Cd 3.10-3.21
7 Cd 0.5000 0.7181 0.2181  4 Ag 2.90, 6 Cd 3.10-3.21
8 Cd 0.6499 0.0000 0.6499  5 Cd 3.01-3.21, 4 Ag 3.06
9 Cd 0.7181 0.5000 0.2181  4 Ag 2.90, 6 Cd 3.10-3.21
10 Ag 0.0000 0.0000 0.5000  2 Ag 2.83, 8 Cd 2.90-3.06
11 Ag 0.0000 0.5000 0.0000  2 Ag 2.83, 8 Cd 2.90-3.06
12 Ag 0.5000 0.0000 0.0000  2 Ag 2.83, 8 Cd 2.90-3.06
13 Ag 0.5000 0.5000 0.5000  2 Ag 2.83, 8 Cd 2.90-3.06


# 2
Material: AcCd2Ag
Method: DFT, PBE
State: relaxed

Results
* formation energy from the elements: -0.323 eV/atom
* space group: No. 63
* magnetic moment: 0.0 μB per cell

Lattice parameters (Å, degrees): 4.7951 10.9129 8.0150 90.00 90.00 90.00
Last column: nearest neighbours and their distance in Å.
Positions (direct):
1 Ac 0.0000 0.0742 0.2500  3 Ag 3.19-3.30, 6 Cd 3.51
2 Ac 0.0000 0.9258 0.7500  3 Ag 3.19-3.30, 6 Cd 3.51
3 Ac 0.5000 0.4258 0.7500  3 Ag 3.19-3.30, 6 Cd 3.51
4 Ac 0.5000 0.5742 0.2500  3 Ag 3.19-3.30, 6 Cd 3.51
5 Cd 0.0000 0.3635 0.0577  3 Ag 2.93-2.99, 2 Cd 3.08-3.12
6 Cd 0.0000 0.3635 0.4423  3 Ag 2.93-2.99, 2 Cd 3.08-3.12
7 Cd 0.0000 0.6365 0.5577  3 Ag 2.93-2.99, 2 Cd 3.08-3.12
8 Cd 0.0000 0.6365 0.9423  3 Ag 2.93-2.99, 2 Cd 3.08-3.12
9 Cd 0.5000 0.1365 0.5577  3 Ag 2.93-2.99, 2 Cd 3.08-3.12
10 Cd 0.5000 0.1365 0.9423  3 Ag 2.93-2.99, 2 Cd 3.08-3.12
11 Cd 0.5000 0.8635 0.0577  3 Ag 2.93-2.99, 2 Cd 3.08-3.12
12 Cd 0.5000 0.8635 0.4423  3 Ag 2.93-2.99, 2 Cd 3.08-3.12
13 Ag 0.0000 0.2180 0.7500  6 Cd 2.93-2.99, 1 Ac 3.19
14 Ag 0.0000 0.7820 0.2500  6 Cd 2.93-2.99, 1 Ac 3.19
15 Ag 0.5000 0.2820 0.2500  6 Cd 2.93-2.99, 1 Ac 3.19
16 Ag 0.5000 0.7180 0.7500  6 Cd 2.93-2.99, 1 Ac 3.19


# 3
Material: Ac3AgCl
Method: DFT, PBE
State: relaxed

Results
* E_tot: -18.599 eV for the cell shown
* space group: No. 221
* magnetic moment: 0.0 μB per cell

Lattice parameters (Å, degrees): 5.6940 5.6940 5.6940 90.00 90.00 90.00
Last column: nearest neighbours and their distance in Å.
Positions (direct):
1 Ac 0.0000 0.0000 0.5000  2 Cl 2.85
2 Ac 0.0000 0.5000 0.0000  2 Cl 2.85
3 Ac 0.5000 0.0000 0.0000  2 Cl 2.85
4 Ag 0.5000 0.5000 0.5000  12 Ac 4.03
5 Cl 0.0000 0.0000 0.0000  6 Ac 2.85


# 4
Material: CsAcAg
Method: DFT, PBE
State: relaxed

Results
* space group: No. 216
* distance to the lowest polymorph of the same formula: 0.00 kJ/mol of atoms
* magnetic moment: 0.6 μB per cell

Lattice parameters (Å, degrees): 7.8749 7.8749 7.8749 90.00 90.00 90.00
Last column: nearest neighbours and their distance in Å.
Positions (direct):
1 Cs 0.0000 0.0000 0.0000  4 Ac 3.41
2 Cs 0.0000 0.5000 0.5000  4 Ac 3.41
3 Cs 0.5000 0.0000 0.5000  4 Ac 3.41
4 Cs 0.5000 0.5000 0.0000  4 Ac 3.41
5 Ac 0.2500 0.2500 0.7500  4 Cs 3.41, 4 Ag 3.41
6 Ac 0.2500 0.7500 0.2500  4 Cs 3.41, 4 Ag 3.41
7 Ac 0.7500 0.2500 0.2500  4 Cs 3.41, 4 Ag 3.41
8 Ac 0.7500 0.7500 0.7500  4 Cs 3.41, 4 Ag 3.41
9 Ag 0.0000 0.0000 0.5000  4 Ac 3.41
10 Ag 0.0000 0.5000 0.0000  4 Ac 3.41
11 Ag 0.5000 0.0000 0.0000  4 Ac 3.41
12 Ag 0.5000 0.5000 0.5000  4 Ac 3.41


# 5
Material: CsAcAg
Method: DFT, PBE
State: relaxed

Results
* space group: No. 216
* distance to the lowest polymorph of the same formula: 16.10 kJ/mol of atoms
* magnetic moment: 0.0 μB per cell

Lattice parameters (Å, degrees): 7.7355 7.7355 7.7355 90.00 90.00 90.00
Last column: nearest neighbours and their distance in Å.
Positions (direct):
1 Cs 0.0000 0.0000 0.0000  4 Ac 3.35, 4 Ag 3.35
2 Cs 0.0000 0.5000 0.5000  4 Ac 3.35, 4 Ag 3.35
3 Cs 0.5000 0.0000 0.5000  4 Ac 3.35, 4 Ag 3.35
4 Cs 0.5000 0.5000 0.0000  4 Ac 3.35, 4 Ag 3.35
5 Ac 0.2500 0.2500 0.7500  4 Cs 3.35
6 Ac 0.2500 0.7500 0.2500  4 Cs 3.35
7 Ac 0.7500 0.2500 0.2500  4 Cs 3.35
8 Ac 0.7500 0.7500 0.7500  4 Cs 3.35
9 Ag 0.2500 0.2500 0.2500  4 Cs 3.35
10 Ag 0.2500 0.7500 0.7500  4 Cs 3.35
11 Ag 0.7500 0.2500 0.7500  4 Cs 3.35
12 Ag 0.7500 0.7500 0.2500  4 Cs 3.35


# 6
Material: AcCuAg
Method: DFT, PBE
State: relaxed

Results
* formation energy from the elements: -0.071 eV/atom
* space group: No. 216
* distance to the lowest polymorph of the same formula: 0.00 kJ/mol of atoms
* magnetic moment: 0.0 μB per cell

Lattice parameters (Å, degrees): 6.8717 6.8717 6.8717 90.00 90.00 90.00
Last column: nearest neighbours and their distance in Å.
Positions (direct):
1 Ac 0.0000 0.0000 0.0000  4 Cu 2.98
2 Ac 0.0000 0.5000 0.5000  4 Cu 2.98
3 Ac 0.5000 0.0000 0.5000  4 Cu 2.98
4 Ac 0.5000 0.5000 0.0000  4 Cu 2.98
5 Cu 0.2500 0.2500 0.2500  4 Ac 2.98, 4 Ag 2.98
6 Cu 0.2500 0.7500 0.7500  4 Ag 2.98, 4 Ac 2.98
7 Cu 0.7500 0.2500 0.7500  4 Ag 2.98, 4 Ac 2.98
8 Cu 0.7500 0.7500 0.2500  4 Ag 2.98, 4 Ac 2.98
9 Ag 0.0000 0.0000 0.5000  4 Cu 2.98
10 Ag 0.0000 0.5000 0.0000  4 Cu 2.98
11 Ag 0.5000 0.0000 0.0000  4 Cu 2.98
12 Ag 0.5000 0.5000 0.5000  4 Cu 2.98


# 7
Material: AcCuAg
Method: DFT, PBE
State: relaxed

Results
* formation energy from the elements: 0.294 eV/atom
* space group: No. 216
* distance to the lowest polymorph of the same formula: 35.27 kJ/mol of atoms
* magnetic moment: 0.0 μB per cell

Lattice parameters (Å, degrees): 7.2362 7.2362 7.2362 90.00 90.00 90.00
Last column: nearest neighbours and their distance in Å.
Positions (direct):
1 Ac 0.0000 0.0000 0.0000  4 Cu 3.13, 4 Ag 3.13
2 Ac 0.0000 0.5000 0.5000  4 Cu 3.13, 4 Ag 3.13
3 Ac 0.5000 0.0000 0.5000  4 Cu 3.13, 4 Ag 3.13
4 Ac 0.5000 0.5000 0.0000  4 Cu 3.13, 4 Ag 3.13
5 Cu 0.2500 0.2500 0.2500  4 Ac 3.13
6 Cu 0.2500 0.7500 0.7500  4 Ac 3.13
7 Cu 0.7500 0.2500 0.7500  4 Ac 3.13
8 Cu 0.7500 0.7500 0.2500  4 Ac 3.13
9 Ag 0.2500 0.2500 0.7500  4 Ac 3.13
10 Ag 0.2500 0.7500 0.2500  4 Ac 3.13
11 Ag 0.7500 0.2500 0.2500  4 Ac 3.13
12 Ag 0.7500 0.7500 0.7500  4 Ac 3.13


# 8
Material: AcDyAg
Method: DFT, PBE
State: relaxed

Results
* formation energy from the elements: 0.479 eV/atom
* space group: No. 216
* distance to the lowest polymorph of the same formula: 0.00 kJ/mol of atoms
* magnetic moment: 0.0 μB per cell

Lattice parameters (Å, degrees): 7.2771 7.2771 7.2771 90.00 90.00 90.00
Last column: nearest neighbours and their distance in Å.
Positions (direct):
1 Ac 0.0000 0.0000 0.0000  4 Dy 3.15
2 Ac 0.0000 0.5000 0.5000  4 Dy 3.15
3 Ac 0.5000 0.0000 0.5000  4 Dy 3.15
4 Ac 0.5000 0.5000 0.0000  4 Dy 3.15
5 Dy 0.2500 0.2500 0.2500  4 Ac 3.15, 4 Ag 3.15
6 Dy 0.2500 0.7500 0.7500  4 Ac 3.15, 4 Ag 3.15
7 Dy 0.7500 0.2500 0.7500  4 Ac 3.15, 4 Ag 3.15
8 Dy 0.7500 0.7500 0.2500  4 Ac 3.15, 4 Ag 3.15
9 Ag 0.0000 0.0000 0.5000  4 Dy 3.15
10 Ag 0.0000 0.5000 0.0000  4 Dy 3.15
11 Ag 0.5000 0.0000 0.0000  4 Dy 3.15
12 Ag 0.5000 0.5000 0.5000  4 Dy 3.15